Entry 1:
Material: LiU2CdO8
Method: DFT, PBE-GGA
State: relaxed

SG: No. 82
DFT total energy: -7.773 eV/atom

Lattice parameters (Å, degrees): 6.393 6.393 6.393 130.94 130.94 71.90
Fractional coordinates of all 12 atoms:
Li (0.000, 0.000, 0.000)
U (0.500, 0.500, 0.000)
U (0.750, 0.250, 0.500)
Cd (0.250, 0.750, 0.500)
O (0.123, 0.604, 0.975)
O (0.124, 0.148, 0.521)
O (0.396, 0.370, 0.519)
O (0.397, 0.876, 0.024)
O (0.627, 0.603, 0.479)
O (0.630, 0.149, 0.025)
O (0.851, 0.877, 0.481)
O (0.852, 0.373, 0.976)


Entry 2:
Material: Mg2Sn3Pd3
Method: DFT, PBE-GGA
State: relaxed

SG: No. 193
DFT total energy: -4.336 eV/atom

Lattice parameters (Å, degrees): 8.035 8.035 5.718 90.00 90.00 120.00
Fractional coordinates of all 16 atoms:
Mg (0.333, 0.667, 0.000)
Mg (0.333, 0.667, 0.500)
Mg (0.667, 0.333, 0.000)
Mg (0.667, 0.333, 0.500)
Sn (0.000, 0.276, 0.250)
Sn (0.000, 0.724, 0.750)
Sn (0.276, 0.000, 0.250)
Sn (0.276, 0.276, 0.750)
Sn (0.724, 0.000, 0.750)
Sn (0.724, 0.724, 0.250)
Pd (0.000, 0.384, 0.750)
Pd (0.000, 0.616, 0.250)
Pd (0.384, 0.000, 0.750)
Pd (0.384, 0.384, 0.250)
Pd (0.616, 0.000, 0.250)
Pd (0.616, 0.616, 0.750)


Entry 3:
Material: Cs2ZnOs4
Method: DFT, PBE-GGA
State: relaxed

SG: No. 139
DFT total energy: -4.323 eV/atom

Lattice parameters (Å, degrees): 10.121 10.121 10.121 153.16 153.16 38.32
Fractional coordinates of all 7 atoms:
Cs (0.168, 0.168, 0.000)
Cs (0.832, 0.832, 0.000)
Zn (0.500, 0.500, 0.000)
Os (0.000, 0.500, 0.500)
Os (0.382, 0.382, 0.000)
Os (0.500, 0.000, 0.500)
Os (0.618, 0.618, 0.000)


Entry 4:
Material: PuZrTe2O
Method: DFT, PBE-GGA
State: relaxed

SG: No. 129
DFT total energy: -8.471 eV/atom

Lattice parameters (Å, degrees): 3.963 3.963 14.458 90.00 90.00 90.00
Fractional coordinates of all 10 atoms:
Pu (0.250, 0.250, 0.082)
Pu (0.750, 0.750, 0.918)
Zr (0.250, 0.250, 0.575)
Zr (0.750, 0.750, 0.425)
Te (0.250, 0.250, 0.368)
Te (0.250, 0.250, 0.795)
Te (0.750, 0.750, 0.205)
Te (0.750, 0.750, 0.632)
O (0.250, 0.750, 0.000)
O (0.750, 0.250, 0.000)


Entry 5:
Material: Li3GaSn
Method: DFT, PBE-GGA
State: relaxed

SG: No. 221
polymorph energy (0 for the lowest one): 0.4138 eV/atom

Lattice parameters (Å, degrees): 5.144 5.144 5.144 90.00 90.00 90.00
Fractional coordinates of all 5 atoms:
Li (0.000, 0.000, 0.500)
Li (0.000, 0.500, 0.000)
Li (0.500, 0.000, 0.000)
Ga (0.500, 0.500, 0.500)
Sn (0.000, 0.000, 0.000)


Entry 6:
Material: DyYHg
Method: DFT, PBE-GGA
State: relaxed

SG: No. 62
polymorph energy (0 for the lowest one): 0.0000 eV/atom

Lattice parameters (Å, degrees): 7.101 5.113 9.219 90.00 90.00 90.00
Fractional coordinates of all 12 atoms:
Dy (0.169, 0.250, 0.075)
Dy (0.331, 0.750, 0.575)
Dy (0.669, 0.250, 0.425)
Dy (0.831, 0.750, 0.925)
Y (0.016, 0.250, 0.694)
Y (0.484, 0.750, 0.194)
Y (0.516, 0.250, 0.806)
Y (0.984, 0.750, 0.306)
Hg (0.239, 0.250, 0.400)
Hg (0.261, 0.750, 0.900)
Hg (0.739, 0.250, 0.100)
Hg (0.761, 0.750, 0.600)


Entry 7:
Material: LiSm2P4Ir3
Method: DFT, PBE-GGA
State: relaxed

SG: No. 115
DFT total energy: -6.944 eV/atom

Lattice parameters (Å, degrees): 4.207 4.207 9.484 90.00 90.00 90.00
Fractional coordinates of all 10 atoms:
Li (0.000, 0.000, 0.000)
Sm (0.000, 0.500, 0.744)
Sm (0.500, 0.000, 0.256)
P (0.000, 0.000, 0.500)
P (0.000, 0.500, 0.136)
P (0.500, 0.000, 0.864)
P (0.500, 0.500, 0.500)
Ir (0.000, 0.500, 0.389)
Ir (0.500, 0.000, 0.611)
Ir (0.500, 0.500, 0.000)


Entry 8:
Material: MgIn2Ag
Method: DFT, PBE-GGA
State: relaxed

SG: No. 160
DFT total energy: -2.505 eV/atom

Lattice parameters (Å, degrees): 9.852 9.852 9.852 19.20 19.20 19.20
Fractional coordinates of all 4 atoms:
Mg (0.000, 0.000, 0.000)
In (0.580, 0.580, 0.580)
In (0.753, 0.753, 0.753)
Ag (0.166, 0.166, 0.166)


Entry 9:
Material: PuPd3Pt
Method: DFT, PBE-GGA
State: relaxed

SG: No. 194
DFT total energy: -7.370 eV/atom

Lattice parameters (Å, degrees): 6.558 6.558 5.303 90.00 90.00 120.00
Fractional coordinates of all 10 atoms:
Pu (0.333, 0.667, 0.250)
Pu (0.667, 0.333, 0.750)
Pd (0.200, 0.400, 0.750)
Pd (0.200, 0.800, 0.750)
Pd (0.400, 0.200, 0.250)
Pd (0.600, 0.800, 0.750)
Pd (0.800, 0.200, 0.250)
Pd (0.800, 0.600, 0.250)
Pt (0.000, 0.000, 0.000)
Pt (0.000, 0.000, 0.500)


Entry 10:
Material: AgHgIr2
Method: DFT, PBE-GGA
State: relaxed

SG: No. 12
DFT total energy: -4.782 eV/atom

Lattice parameters (Å, degrees): 5.037 5.037 4.909 99.19 99.19 32.73
Fractional coordinates of all 4 atoms:
Ag (0.000, 0.000, 0.000)
Hg (0.500, 0.500, 0.500)
Ir (0.250, 0.250, 0.761)
Ir (0.750, 0.750, 0.239)


Entry 11:
Material: NbAg2P2
Method: DFT, PBE-GGA
State: relaxed

SG: No. 127
DFT total energy: -5.249 eV/atom

Lattice parameters (Å, degrees): 6.704 6.704 3.777 90.00 90.00 90.00
Fractional coordinates of all 10 atoms:
Nb (0.000, 0.000, 0.000)
Nb (0.500, 0.500, 0.000)
Ag (0.154, 0.346, 0.500)
Ag (0.346, 0.846, 0.500)
Ag (0.654, 0.154, 0.500)
Ag (0.846, 0.654, 0.500)
P (0.155, 0.655, 0.000)
P (0.345, 0.155, 0.000)
P (0.655, 0.845, 0.000)
P (0.845, 0.345, 0.000)


Entry 12:
Material: Pr2Ni15Ir2
Method: DFT, PBE-GGA
State: relaxed

SG: No. 166
DFT total energy: -6.150 eV/atom

Lattice parameters (Å, degrees): 6.389 6.389 6.389 82.56 82.56 82.56
Fractional coordinates of all 19 atoms:
Pr (0.156, 0.156, 0.156)
Pr (0.844, 0.844, 0.844)
Ni (0.000, 0.500, 0.500)
Ni (0.157, 0.157, 0.654)
Ni (0.157, 0.654, 0.157)
Ni (0.209, 0.500, 0.791)
Ni (0.209, 0.791, 0.500)
Ni (0.346, 0.843, 0.843)
Ni (0.500, 0.000, 0.500)
Ni (0.500, 0.209, 0.791)
Ni (0.500, 0.500, 0.000)
Ni (0.500, 0.791, 0.209)
Ni (0.654, 0.157, 0.157)
Ni (0.791, 0.209, 0.500)
Ni (0.791, 0.500, 0.209)
Ni (0.843, 0.346, 0.843)
Ni (0.843, 0.843, 0.346)
Ir (0.398, 0.398, 0.398)
Ir (0.602, 0.602, 0.602)


Entry 13:
Material: Al2CdSi
Method: DFT, PBE-GGA
State: relaxed

SG: No. 123
polymorph energy (0 for the lowest one): 0.0919 eV/atom

Lattice parameters (Å, degrees): 4.182 4.182 4.144 90.00 90.00 90.00
Fractional coordinates of all 4 atoms:
Al (0.000, 0.500, 0.000)
Al (0.500, 0.000, 0.000)
Cd (0.000, 0.000, 0.500)
Si (0.500, 0.500, 0.500)


Entry 14:
Material: KHfAl3
Method: DFT, PBE-GGA
State: relaxed

SG: No. 221
polymorph energy (0 for the lowest one): 1.1036 eV/atom

Lattice parameters (Å, degrees): 5.001 5.001 5.001 90.00 90.00 90.00
Fractional coordinates of all 5 atoms:
K (0.000, 0.000, 0.000)
Hf (0.500, 0.500, 0.500)
Al (0.000, 0.000, 0.500)
Al (0.000, 0.500, 0.000)
Al (0.500, 0.000, 0.000)


Entry 15:
Material: Mn2AlHg
Method: DFT, PBE-GGA
State: relaxed

SG: No. 216
polymorph energy (0 for the lowest one): 0.2425 eV/atom

Lattice parameters (Å, degrees): 4.487 4.487 4.487 60.00 60.00 60.00
Fractional coordinates of all 4 atoms:
Mn (0.000, 0.000, 0.000)
Mn (0.250, 0.250, 0.250)
Al (0.500, 0.500, 0.500)
Hg (0.750, 0.750, 0.750)


Entry 16:
Material: BaCd6Au3
Method: DFT, PBE-GGA
State: relaxed

SG: No. 11
DFT total energy: -2.016 eV/atom

Lattice parameters (Å, degrees): 8.888 4.623 11.818 90.00 98.46 90.00
Fractional coordinates of all 20 atoms:
Ba (0.060, 0.250, 0.239)
Ba (0.940, 0.750, 0.761)
Cd (0.120, 0.250, 0.580)
Cd (0.269, 0.750, 0.023)
Cd (0.332, 0.750, 0.682)
Cd (0.337, 0.250, 0.857)
Cd (0.401, 0.250, 0.459)
Cd (0.402, 0.750, 0.277)
Cd (0.598, 0.250, 0.723)
Cd (0.599, 0.750, 0.541)
Cd (0.663, 0.750, 0.143)
Cd (0.668, 0.250, 0.318)
Cd (0.731, 0.250, 0.977)
Cd (0.880, 0.750, 0.420)
Au (0.072, 0.250, 0.961)
Au (0.202, 0.750, 0.444)
Au (0.443, 0.250, 0.120)
Au (0.557, 0.750, 0.880)
Au (0.798, 0.250, 0.556)
Au (0.928, 0.750, 0.039)


Entry 17:
Material: SrLa3W
Method: DFT, PBE-GGA
State: relaxed

SG: No. 221
polymorph energy (0 for the lowest one): 1.6625 eV/atom

Lattice parameters (Å, degrees): 5.578 5.578 5.578 90.00 90.00 90.00
Fractional coordinates of all 5 atoms:
Sr (0.000, 0.000, 0.000)
La (0.000, 0.000, 0.500)
La (0.000, 0.500, 0.000)
La (0.500, 0.000, 0.000)
W (0.500, 0.500, 0.500)


Entry 18:
Material: TbYSc2S6
Method: DFT, PBE-GGA
State: relaxed

SG: No. 146
DFT total energy: -6.816 eV/atom

Lattice parameters (Å, degrees): 7.115 7.115 7.115 56.33 56.33 56.33
Fractional coordinates of all 10 atoms:
Tb (0.000, 0.000, 0.000)
Y (0.499, 0.499, 0.499)
Sc (0.299, 0.299, 0.299)
Sc (0.800, 0.800, 0.800)
S (0.076, 0.678, 0.424)
S (0.180, 0.576, 0.922)
S (0.424, 0.076, 0.678)
S (0.576, 0.922, 0.180)
S (0.678, 0.424, 0.076)
S (0.922, 0.180, 0.576)


Entry 19:
Material: Ac2Ag15Bi2
Method: DFT, PBE-GGA
State: relaxed

SG: No. 166
DFT total energy: -3.193 eV/atom

Lattice parameters (Å, degrees): 7.535 7.535 7.535 83.09 83.09 83.09
Fractional coordinates of all 19 atoms:
Ac (0.149, 0.149, 0.149)
Ac (0.851, 0.851, 0.851)
Ag (0.000, 0.500, 0.500)
Ag (0.150, 0.150, 0.663)
Ag (0.150, 0.663, 0.150)
Ag (0.189, 0.500, 0.811)
Ag (0.189, 0.811, 0.500)
Ag (0.337, 0.850, 0.850)
Ag (0.500, 0.000, 0.500)
Ag (0.500, 0.189, 0.811)
Ag (0.500, 0.500, 0.000)
Ag (0.500, 0.811, 0.189)
Ag (0.663, 0.150, 0.150)
Ag (0.811, 0.189, 0.500)
Ag (0.811, 0.500, 0.189)
Ag (0.850, 0.337, 0.850)
Ag (0.850, 0.850, 0.337)
Bi (0.392, 0.392, 0.392)
Bi (0.608, 0.608, 0.608)


Entry 20:
Material: Mo2AsH
Method: DFT, PBE-GGA
State: relaxed

SG: No. 166
polymorph energy (0 for the lowest one): 0.1906 eV/atom

Lattice parameters (Å, degrees): 6.324 6.324 6.324 33.35 33.35 33.35
Fractional coordinates of all 4 atoms:
Mo (0.098, 0.098, 0.098)
Mo (0.902, 0.902, 0.902)
As (0.500, 0.500, 0.500)
H (0.000, 0.000, 0.000)


no.,spin magnetization (μB/f.u.)
1,0.00
2,0.00
3,8.74
4,4.65
5,0.00
6,0.00
7,0.00
8,0.00
9,4.78
10,0.00
11,0.00
12,8.09
13,0.00
14,0.00
15,6.54
16,0.00
17,0.00
18,0.00
19,0.00
20,0.00